*w*
## MnCrCuGeOs (PBE-GGA)

Data for a relaxed structure of MnCrCuGeOs.

Its density of states at the Fermi level is 3.03 states/eV/f.u.

The space group is Amm2 (No. 38) and the conventional cell measures 2.732, 3.845 and 12.623 Å, with angles of 90.00, 90.00 and 90.00 degrees. The inequivalent atoms are Mn at (0.000, 0.000, 0.000), Cr at (0.000, 0.000, 0.817), Cu at (0.500, 0.000, 0.414), Ge at (0.000, 0.000, 0.614) and Os at (0.500, 0.000, 0.207).



*x*
## MnCrCuGeOs (PBE-GGA)

Data for a relaxed structure of MnCrCuGeOs.

Its density of states at the Fermi level is 4.17 states/eV/f.u.

The space group is Amm2 (No. 38) and the conventional cell measures 3.945, 3.927 and 9.333 Å, with angles of 90.00, 90.00 and 90.00 degrees. The inequivalent atoms are Mn at (0.000, 0.000, 0.000), Cr at (0.500, 0.000, 0.850), Cu at (0.500, 0.000, 0.528), Ge at (0.500, 0.000, 0.176) and Os at (0.000, 0.000, 0.338).



*y*
## MnCrCuGeOs (PBE-GGA)

Data for a relaxed structure of MnCrCuGeOs.

Its density of states at the Fermi level is 3.78 states/eV/f.u.

The space group is Imm2 (No. 44) and the conventional cell measures 2.716, 3.950 and 12.063 Å, with angles of 90.00, 90.00 and 90.00 degrees. The inequivalent atoms are Mn at (0.000, 0.000, 0.000), Cr at (0.000, 0.500, 0.898), Cu at (0.000, 0.500, 0.695), Ge at (0.000, 0.000, 0.581) and Os at (0.000, 0.500, 0.316).



*z*
## MnCrCuGeOs (PBE-GGA)

Data for a relaxed structure of MnCrCuGeOs.

Its density of states at the Fermi level is 3.14 states/eV/f.u.

The space group is Cm (No. 8) and the conventional cell measures 8.391, 3.734 and 5.828 Å, with angles of 90.00, 133.49 and 90.00 degrees. The inequivalent atoms are Mn at (0.000, 0.000, 0.000), Cr at (0.383, 0.000, 0.589), Cu at (0.285, 0.500, 0.191), Ge at (0.202, 0.000, 0.815) and Os at (0.093, 0.500, 0.415).



It turns out *z* is the most stable, with the second structure 0.117 eV/atom higher.



*w*
## MnCrCuGeOs (PBE-GGA)

Data for a relaxed structure of MnCrCuGeOs.

Its density of states at the Fermi level is 3.47 states/eV/f.u.

The space group is Cm (No. 8) and the conventional cell measures 8.445, 3.694 and 5.846 Å, with angles of 90.00, 133.59 and 90.00 degrees. The inequivalent atoms are Mn at (0.000, 0.000, 0.000), Cr at (0.391, 0.000, 0.602), Cu at (0.101, 0.500, 0.402), Ge at (0.188, 0.000, 0.786) and Os at (0.295, 0.500, 0.188).



*x*
## MnCrCuGeOs (PBE-GGA)

Data for a relaxed structure of MnCrCuGeOs.

Its density of states at the Fermi level is 3.88 states/eV/f.u.

The space group is Amm2 (No. 38) and the conventional cell measures 2.698, 3.818 and 12.834 Å, with angles of 90.00, 90.00 and 90.00 degrees. The inequivalent atoms are Mn at (0.000, 0.000, 0.000), Cr at (0.500, 0.000, 0.610), Cu at (0.500, 0.000, 0.804), Ge at (0.500, 0.000, 0.415) and Os at (0.000, 0.000, 0.194).



It turns out *w* is the most stable, with the second structure 0.033 eV/atom higher.